First-principles (PBE-GGA) data for crystalline MgGaAg4 at its relaxed geometry, as listed in Alexandria.

POSCAR file:
```
MgGaAg4
1.0
-5.479 0.463 0.436
-2.380 0.003 4.975
-2.226 4.638 1.990
Ga Ag Mg
1 4 1
Direct
0.250 0.250 0.250
0.125 0.625 0.625
0.625 0.625 0.625
0.625 0.625 0.125
0.625 0.125 0.625
0.000 0.000 0.000
```

The energy above the most stable polymorph in this dataset comes out at 0.106 eV per atom. The calculation puts the final energy at -2.64 eV/atom.